1.
Material: BaNbB4
Method: DFT, PBE-GGA
State: relaxed

Its size of the total moment is 0.00 μB per formula unit. Its space group is No. 191. The energy above the most stable polymorph in this dataset comes out at 0.0 kJ/mol of atoms. For the energy, the calculation gives -6.704 eV/atom.

a b c (Å): 3.1575 3.1575 8.3663
angles (deg): 90.00 90.00 120.00
Closest atoms and distances in Å follow each position.
Sites, in units of the cell vectors:
Ba (0.0000, 0.0000, 0.0000)  12 B 3.11, 6 Ba 3.16
Nb (0.0000, 0.0000, 0.5000)  12 B 2.47
B (0.3333, 0.6667, 0.3012)  3 B 1.82
B (0.3333, 0.6667, 0.6988)  3 B 1.82
B (0.6667, 0.3333, 0.3012)  3 B 1.82
B (0.6667, 0.3333, 0.6988)  3 B 1.82



2.
Material: GaAgBAu
Method: DFT, PBE-GGA
State: relaxed

Its space group is No. 216. The energy above the most stable polymorph in this dataset comes out at 0.0 kJ/mol of atoms. For the energy, the calculation gives -3.207 eV/atom.

a b c (Å): 4.4198 4.4198 4.4198
angles (deg): 60.00 60.00 60.00
Closest atoms and distances in Å follow each position.
Sites, in units of the cell vectors:
Ga (0.0000, 0.0000, 0.0000)  4 Au 2.71, 4 Ag 2.71
Ag (0.7500, 0.7500, 0.7500)  4 B 2.71, 4 Ga 2.71
B (0.5000, 0.5000, 0.5000)  4 Ag 2.71, 4 Au 2.71
Au (0.2500, 0.2500, 0.2500)  4 B 2.71, 4 Ga 2.71



3.
Material: Ba2TaTl3N4
Method: DFT, PBE-GGA
State: relaxed

Its size of the total moment is 0.00 μB per formula unit. Its space group is No. 15. For the energy, the calculation gives -5.938 eV/atom.

a b c (Å): 6.9167 6.9167 11.6638
angles (deg): 107.47 107.47 67.87
Closest atoms and distances in Å follow each position.
Sites, in units of the cell vectors:
Ba (0.1270, 0.2355, 0.0735)  2 N 2.63-2.66
Ba (0.2355, 0.1270, 0.5735)  2 N 2.63-2.66
Ba (0.7645, 0.8730, 0.4265)  2 N 2.63-2.66
Ba (0.8730, 0.7645, 0.9265)  2 N 2.63-2.66
Ta (0.0413, 0.9587, 0.2500)  4 N 1.96
Ta (0.9587, 0.0413, 0.7500)  4 N 1.96
Tl (0.2960, 0.4619, 0.4050)  2 N 2.32-2.52
Tl (0.3500, 0.6500, 0.7500)  2 N 2.40
Tl (0.4619, 0.2960, 0.9050)  2 N 2.32-2.52
Tl (0.5381, 0.7040, 0.0950)  2 N 2.32-2.52
Tl (0.6500, 0.3500, 0.2500)  2 N 2.40
Tl (0.7040, 0.5381, 0.5950)  2 N 2.32-2.52
N (0.0301, 0.2580, 0.3187)  1 Ta 1.96
N (0.1407, 0.8176, 0.3896)  1 Ta 1.96
N (0.1824, 0.8593, 0.1104)  1 Ta 1.96
N (0.2580, 0.0301, 0.8187)  1 Ta 1.96
N (0.7420, 0.9699, 0.1813)  1 Ta 1.96
N (0.8176, 0.1407, 0.8896)  1 Ta 1.96
N (0.8593, 0.1824, 0.6104)  1 Ta 1.96
N (0.9699, 0.7420, 0.6813)  1 Ta 1.96



4.
Material: TlAuNO
Method: DFT, PBE-GGA
State: relaxed

Its space group is No. 26. The energy above the most stable polymorph in this dataset comes out at 10.6 kJ/mol of atoms. For the energy, the calculation gives -4.166 eV/atom.

a b c (Å): 3.7785 6.3390 5.6094
angles (deg): 90.00 90.00 90.00
Closest atoms and distances in Å follow each position.
Sites, in units of the cell vectors:
Tl (0.0000, 0.1445, 0.0000)  2 O 2.23, 2 N 2.24
Tl (0.0000, 0.8555, 0.5000)  2 O 2.23, 2 N 2.24
Au (0.5000, 0.4241, 0.5294)  2 N 2.03-2.09
Au (0.5000, 0.5759, 0.0294)  2 N 2.03-2.09
N (0.5000, 0.2844, 0.8554)  2 Au 2.03-2.09, 2 Tl 2.24
N (0.5000, 0.7156, 0.3554)  2 Au 2.03-2.09, 2 Tl 2.24
O (0.0000, 0.1946, 0.3926)  2 Tl 2.23
O (0.0000, 0.8054, 0.8926)  2 Tl 2.23



5.
Material: NbCd2GeAs4
Method: DFT, PBE-GGA
State: relaxed

Its size of the total moment is 0.08 μB per formula unit. Its space group is No. 82. For the energy, the calculation gives -4.417 eV/atom.

a b c (Å): 7.2884 7.2884 7.2884
angles (deg): 130.97 130.97 71.87
Closest atoms and distances in Å follow each position.
Sites, in units of the cell vectors:
Nb (0.0000, 0.0000, 0.0000)  4 As 2.50
Cd (0.5000, 0.5000, 0.0000)  4 As 2.69
Cd (0.7500, 0.2500, 0.5000)  4 As 2.71
Ge (0.2500, 0.7500, 0.5000)  4 As 2.50
As (0.1273, 0.6536, 0.0293)  1 Nb 2.50, 1 Ge 2.50, 2 Cd 2.69-2.71
As (0.3464, 0.3757, 0.4736)  1 Nb 2.50, 1 Ge 2.50, 2 Cd 2.69-2.71
As (0.6243, 0.0979, 0.9707)  1 Nb 2.50, 1 Ge 2.50, 2 Cd 2.69-2.71
As (0.9021, 0.8727, 0.5264)  1 Nb 2.50, 1 Ge 2.50, 2 Cd 2.69-2.71



6.
Material: BaBeNbIr
Method: DFT, PBE-GGA
State: relaxed

Its size of the total moment is 0.05 μB per formula unit. Its space group is No. 216. The energy above the most stable polymorph in this dataset comes out at 33.8 kJ/mol of atoms. For the energy, the calculation gives -5.154 eV/atom.

a b c (Å): 4.7128 4.7128 4.7128
angles (deg): 60.00 60.00 60.00
Closest atoms and distances in Å follow each position.
Sites, in units of the cell vectors:
Ba (0.0000, 0.0000, 0.0000)  4 Nb 2.89, 4 Ir 2.89
Be (0.5000, 0.5000, 0.5000)  4 Nb 2.89, 4 Ir 2.89
Nb (0.7500, 0.7500, 0.7500)  4 Be 2.89, 4 Ba 2.89
Ir (0.2500, 0.2500, 0.2500)  4 Be 2.89, 4 Ba 2.89



7.
Material: CsTmZnTe3
Method: DFT, PBE-GGA
State: relaxed

Its size of the total moment is 0.00 μB per formula unit. Its space group is No. 11. For the energy, the calculation gives -3.740 eV/atom.

a b c (Å): 10.2837 4.4071 10.8729
angles (deg): 90.00 112.38 90.00
Closest atoms and distances in Å follow each position.
Sites, in units of the cell vectors:
Cs (0.2176, 0.2500, 0.2480)  7 Te 3.84-3.97
Cs (0.7824, 0.7500, 0.7520)  7 Te 3.84-3.97
Tm (0.3304, 0.7500, 0.8648)  6 Te 3.01-3.20
Tm (0.6696, 0.2500, 0.1352)  6 Te 3.01-3.20
Zn (0.0820, 0.2500, 0.6092)  4 Te 2.64-2.76
Zn (0.9180, 0.7500, 0.3908)  4 Te 2.64-2.76
Te (0.1207, 0.2500, 0.8636)  1 Zn 2.64
Te (0.2022, 0.7500, 0.5461)  3 Zn 2.74-2.76
Te (0.4774, 0.7500, 0.1627)  3 Tm 3.01-3.05
Te (0.5226, 0.2500, 0.8373)  3 Tm 3.01-3.05
Te (0.7978, 0.2500, 0.4539)  3 Zn 2.74-2.76
Te (0.8793, 0.7500, 0.1364)  1 Zn 2.64



8.
Material: Nd2AlHg5
Method: DFT, PBE-GGA
State: relaxed

Its size of the total moment is 0.01 μB per formula unit. Its space group is No. 38. For the energy, the calculation gives -2.207 eV/atom.

a b c (Å): 4.9147 6.7670 6.7670
angles (deg): 59.94 90.00 90.00
Closest atoms and distances in Å follow each position.
Sites, in units of the cell vectors:
Nd (0.0000, 0.0000, 0.0000)  10 Hg 3.18-3.42, 2 Al 3.39
Nd (0.5000, 0.3337, 0.3337)  10 Hg 3.18-3.48, 2 Al 3.27
Al (0.0000, 0.5171, 0.5171)  6 Hg 3.01-3.14, 2 Nd 3.27
Hg (0.0000, 0.5000, 0.9896)  6 Hg 3.12-3.45, 1 Al 3.14, 4 Nd 3.18-3.42
Hg (0.0000, 0.9896, 0.5000)  6 Hg 3.12-3.45, 1 Al 3.14, 4 Nd 3.18-3.42
Hg (0.5000, 0.3452, 0.8138)  2 Al 3.01, 4 Hg 3.13-3.32, 3 Nd 3.18-3.29
Hg (0.5000, 0.8138, 0.3452)  2 Al 3.01, 4 Hg 3.13-3.32, 3 Nd 3.18-3.29
Hg (0.5000, 0.8283, 0.8283)  8 Hg 3.12-3.45, 4 Nd 3.18-3.38



9.
Material: AcCdO3
Method: DFT, PBE-GGA
State: relaxed

Its size of the total moment is 0.00 μB per formula unit. Its space group is No. 62. For the energy, the calculation gives -5.939 eV/atom.

a b c (Å): 6.1990 8.3381 5.8404
angles (deg): 90.00 90.00 90.00
Closest atoms and distances in Å follow each position.
Sites, in units of the cell vectors:
Ac (0.0658, 0.2500, 0.0166)  6 O 2.48-2.76
Ac (0.4342, 0.7500, 0.5166)  6 O 2.48-2.76
Ac (0.5658, 0.2500, 0.4834)  6 O 2.48-2.76
Ac (0.9342, 0.7500, 0.9834)  6 O 2.48-2.76
Cd (0.0000, 0.0000, 0.5000)  6 O 2.19-2.26
Cd (0.0000, 0.5000, 0.5000)  6 O 2.19-2.26
Cd (0.5000, 0.0000, 0.0000)  6 O 2.19-2.26
Cd (0.5000, 0.5000, 0.0000)  6 O 2.19-2.26
O (0.0419, 0.7500, 0.3917)  2 Cd 2.19
O (0.1947, 0.5555, 0.8024)  2 Cd 2.19-2.26
O (0.1947, 0.9445, 0.8024)  2 Cd 2.19-2.26
O (0.3053, 0.0555, 0.3024)  2 Cd 2.19-2.26
O (0.3053, 0.4445, 0.3024)  2 Cd 2.19-2.26
O (0.4581, 0.2500, 0.8917)  2 Cd 2.19
O (0.5419, 0.7500, 0.1083)  2 Cd 2.19
O (0.6947, 0.5555, 0.6976)  2 Cd 2.19-2.26
O (0.6947, 0.9445, 0.6976)  2 Cd 2.19-2.26
O (0.8053, 0.0555, 0.1976)  2 Cd 2.19-2.26
O (0.8053, 0.4445, 0.1976)  2 Cd 2.19-2.26
O (0.9581, 0.2500, 0.6083)  2 Cd 2.19



10.
Material: Ho3Mg3Zn2Ga
Method: DFT, PBE-GGA
State: relaxed

Its size of the total moment is 0.09 μB per formula unit. Its space group is No. 189. For the energy, the calculation gives -2.977 eV/atom.

a b c (Å): 7.2421 7.2421 4.4477
angles (deg): 90.00 90.00 120.00
Closest atoms and distances in Å follow each position.
Sites, in units of the cell vectors:
Ho (0.0000, 0.4205, 0.0000)  1 Ga 3.05, 4 Zn 3.11, 2 Mg 3.29
Ho (0.4205, 0.0000, 0.0000)  1 Ga 3.05, 4 Zn 3.11, 2 Mg 3.29
Ho (0.5795, 0.5795, 0.0000)  1 Ga 3.05, 4 Zn 3.11, 2 Mg 3.29
Mg (0.0000, 0.7557, 0.5000)  2 Zn 2.79, 2 Ga 2.84, 2 Mg 3.06
Mg (0.2443, 0.2443, 0.5000)  2 Zn 2.79, 2 Ga 2.84, 2 Mg 3.06
Mg (0.7557, 0.0000, 0.5000)  2 Zn 2.79, 2 Ga 2.84, 2 Mg 3.06
Zn (0.3333, 0.6667, 0.5000)  3 Mg 2.79, 6 Ho 3.11
Zn (0.6667, 0.3333, 0.5000)  3 Mg 2.79, 6 Ho 3.11
Ga (0.0000, 0.0000, 0.0000)  6 Mg 2.84, 3 Ho 3.05